# LiLa2In PBE optimized geometry
# Formation enthalpy at 0 K ... -88 kJ/mol of formula units
# Electronic total energy ... -15.42 eV for the cell shown
data_LiLa2In
_cell_length_a 3.580
_cell_length_b 5.079
_cell_length_c 6.760
_cell_angle_alpha 90.00
_cell_angle_beta 105.24
_cell_angle_gamma 90.00
_space_group_name_H-M_alt 'P 1 m 1'
_space_group_IT_number 6
loop_
_space_group_symop_operation_xyz
'x,y,z'
'x,-y,z'
loop_
_atom_site_label
_atom_site_type_symbol
_atom_site_fract_x
_atom_site_fract_y
_atom_site_fract_z
Li1 Li 0.000 0.000 0.000
La1 La 0.393 0.500 0.786
La2 La 0.724 0.000 0.453
In1 In 0.118 0.500 0.240